1.
The following is a PBEsol calculation of Li2VF4 after structural relaxation, from the Alexandria database.

Results
Space group ... Pna2_1, No. 33
E_form (uncorrected) ... -2.6502 eV per atom
Theoretical density ... 3.2 g/cm³
Final energy ... -5.69 eV/atom
Polymorph energy (0 for the lowest one) ... 0.0511 eV/atom

Structure (POSCAR):
```
Li2VF4
1.0
5.463 0.000 0.000
0.000 8.917 0.000
0.000 0.000 12.024
Li V F
16 8 32
Direct
0.687 0.708 0.530
0.283 0.922 0.578
0.899 0.512 0.679
0.388 0.705 0.723
0.888 0.205 0.777
0.399 0.012 0.821
0.783 0.422 0.922
0.187 0.208 0.970
0.813 0.708 0.030
0.217 0.922 0.078
0.601 0.512 0.179
0.112 0.705 0.223
0.612 0.205 0.277
0.101 0.012 0.321
0.717 0.422 0.422
0.313 0.208 0.470
0.785 0.086 0.561
0.352 0.328 0.685
0.852 0.828 0.815
0.285 0.586 0.939
0.715 0.086 0.061
0.148 0.328 0.185
0.648 0.828 0.315
0.215 0.586 0.439
0.903 0.530 0.522
0.395 0.412 0.520
0.305 0.709 0.573
0.437 0.132 0.610
0.004 0.259 0.629
0.743 0.707 0.681
0.745 0.018 0.734
0.185 0.889 0.739
0.685 0.389 0.761
0.245 0.518 0.766
0.243 0.207 0.819
0.504 0.759 0.871
0.937 0.632 0.890
0.805 0.209 0.927
0.895 0.912 0.980
0.403 0.030 0.978
0.597 0.530 0.022
0.105 0.412 0.020
0.195 0.709 0.073
0.063 0.132 0.110
0.496 0.259 0.129
0.757 0.707 0.181
0.755 0.018 0.234
0.315 0.889 0.239
0.815 0.389 0.261
0.255 0.518 0.266
0.257 0.207 0.319
0.996 0.759 0.371
0.563 0.632 0.390
0.695 0.209 0.427
0.605 0.912 0.480
0.097 0.030 0.478
```

---

2.
The following is a PBEsol calculation of LiVF3 after structural relaxation, from the Alexandria database.

Results
Space group ... C2/c, No. 15
E_form (uncorrected) ... -2.5393 eV per atom
Theoretical density ... 3.1 g/cm³
Final energy ... -6.02 eV/atom
Polymorph energy (0 for the lowest one) ... 0.0673 eV/atom

Structure (POSCAR):
```
LiVF3
1.0
5.629 0.031 0.028
2.337 6.658 0.007
2.337 0.476 6.641
Li V F
4 4 12
Direct
0.662 0.376 0.234
0.162 0.234 0.376
0.838 0.766 0.624
0.338 0.624 0.766
0.750 0.905 0.095
0.750 0.264 0.736
0.250 0.736 0.264
0.250 0.095 0.905
0.830 0.186 0.024
0.330 0.024 0.186
0.655 0.646 0.151
0.801 0.276 0.438
0.155 0.151 0.646
0.301 0.438 0.276
0.699 0.562 0.724
0.845 0.849 0.354
0.199 0.724 0.562
0.345 0.354 0.849
0.670 0.976 0.814
0.170 0.814 0.976
```

---

3.
The following is a PBEsol calculation of Li2V2F7 after structural relaxation, from the Alexandria database.

Results
Space group ... P-1, No. 2
E_form (uncorrected) ... -2.7612 eV per atom
Theoretical density ... 3.0 g/cm³
Final energy ... -6.10 eV/atom
Polymorph energy (0 for the lowest one) ... 0.0093 eV/atom

Structure (POSCAR):
```
Li2V2F7
1.0
-3.757 0.753 3.508
-4.930 -2.338 -3.923
-2.156 -7.818 2.689
Li V F
4 4 14
Direct
0.335 0.763 0.908
0.877 0.967 0.753
0.123 0.033 0.247
0.665 0.237 0.092
0.297 0.287 0.809
0.809 0.509 0.672
0.191 0.491 0.328
0.703 0.713 0.191
0.642 0.810 0.962
0.919 0.379 0.891
0.434 0.573 0.780
0.925 0.781 0.634
0.675 0.220 0.707
0.178 0.016 0.818
0.189 0.414 0.580
0.811 0.586 0.420
0.822 0.984 0.182
0.325 0.780 0.293
0.075 0.219 0.366
0.566 0.427 0.220
0.081 0.621 0.109
0.358 0.190 0.038
```

---

4.
The following is a PBEsol calculation of Li2ZnF after structural relaxation, from the Alexandria database.

Results
Space group ... Fm-3m, No. 225
E_form (uncorrected) ... -0.7531 eV per atom
Theoretical density ... 2.9 g/cm³
Final energy ... -2.61 eV/atom

Structure (POSCAR):
```
Li2ZnF
1.0
4.326 0.000 0.000
2.163 3.747 0.000
2.163 1.249 3.533
Zn Li F
1 2 1
Direct
0.500 0.500 0.500
0.250 0.250 0.250
0.750 0.750 0.750
0.000 0.000 0.000
```

---

5.
The following is a PBEsol calculation of Li3ZnF after structural relaxation, from the Alexandria database.

Results
Space group ... Pm-3m, No. 221
E_form (uncorrected) ... -1.0848 eV per atom
Theoretical density ... 2.7 g/cm³
Final energy ... -2.97 eV/atom

Structure (POSCAR):
```
Li3ZnF
1.0
-3.242 -2.366 -0.182
2.368 -3.206 -0.505
0.152 -0.515 3.982
Zn Li F
1 3 1
Direct
0.500 0.500 0.500
0.000 0.500 0.000
0.000 0.000 0.500
0.500 0.000 0.000
0.000 0.000 0.000
```

---

6.
The following is a PBEsol calculation of LiZn2F after structural relaxation, from the Alexandria database.

Results
Space group ... Fm-3m, No. 225
E_form (uncorrected) ... -0.3617 eV per atom
Theoretical density ... 4.3 g/cm³
Final energy ... -2.13 eV/atom

Structure (POSCAR):
```
LiZn2F
1.0
4.401 0.000 0.000
2.200 3.811 0.000
2.200 1.270 3.593
Zn Li F
2 1 1
Direct
0.250 0.250 0.250
0.750 0.750 0.750
0.000 0.000 0.000
0.500 0.500 0.500
```

---

7.
The following is a PBEsol calculation of LuF3 after structural relaxation, from the Alexandria database.

Results
Space group ... Fm-3m, No. 225
E_form (uncorrected) ... -3.8393 eV per atom
Theoretical density ... 10.0 g/cm³
Final energy ... -6.50 eV/atom

Structure (POSCAR):
```
LuF3
1.0
3.797 0.000 0.000
1.899 3.288 0.000
1.899 1.096 3.100
Lu F
1 3
Direct
0.000 0.000 0.000
0.750 0.750 0.750
0.250 0.250 0.250
0.500 0.500 0.500
```

---

8.
The following is a PBEsol calculation of LuOF after structural relaxation, from the Alexandria database.

Results
Space group ... P2_1/c, No. 14
E_form (uncorrected) ... -4.0300 eV per atom
Theoretical density ... 9.1 g/cm³
Final energy ... -8.05 eV/atom

Structure (POSCAR):
```
LuOF
1.0
-2.609 -2.937 -3.580
4.261 0.250 -3.310
1.222 -4.478 2.782
Lu O F
4 4 4
Direct
0.527 0.194 0.288
0.027 0.806 0.212
0.473 0.806 0.712
0.973 0.194 0.788
0.753 0.961 0.490
0.747 0.961 0.990
0.247 0.039 0.510
0.253 0.039 0.010
0.182 0.554 0.852
0.318 0.554 0.352
0.818 0.446 0.148
0.682 0.446 0.648
```